(1)
The following is a DFT calculation (PBE) of BaTe2SN after structural relaxation.

Cell and atoms, written as POSCAR:
```
BaTe2SN
1.0
-6.716 0.142 1.271
0.249 -6.519 2.044
0.974 1.595 4.967
S Te Ba N
1 2 1 1
Cartesian
-2.746 -2.391 4.141
-3.358 0.071 0.636
0.124 -3.260 1.022
0.000 0.000 0.000
0.487 0.797 2.484
```

Properties
- Spin magnetization: 7.0 μB per formula unit
- Formation energy (no corrections): 1.262 eV/atom
- DOS at the Fermi energy: 5.6 states/eV/cell
- Relative energy among the computed polymorphs: 1.179 eV/atom



(2)
The following is a DFT calculation (PBE) of BaTiS2N after structural relaxation.

Cell and atoms, written as POSCAR:
```
BaTiS2N
1.0
5.680 0.000 0.000
0.000 5.680 0.000
0.000 0.000 4.553
Ti S Ba N
1 2 1 1
Cartesian
2.840 2.840 2.277
2.840 0.000 0.000
0.000 2.840 0.000
0.000 0.000 0.000
0.000 0.000 2.277
```

Properties
- Spin magnetization: 0.6 μB per formula unit
- Formation energy (no corrections): 1.076 eV/atom
- DOS at the Fermi energy: 3.9 states/eV/cell
- Relative energy among the computed polymorphs: 2.230 eV/atom



(3)
The following is a DFT calculation (PBE) of BaTiS2N after structural relaxation.

Cell and atoms, written as POSCAR:
```
BaTiS2N
1.0
4.980 0.000 0.000
0.000 4.980 0.000
0.000 0.000 4.023
Ti Ba S N
1 1 2 1
Cartesian
0.000 0.000 0.000
2.490 2.490 2.012
0.000 2.490 0.000
2.490 0.000 0.000
0.000 0.000 2.012
```

Properties
- Spin magnetization: 1.0 μB per formula unit
- Formation energy (no corrections): -1.154 eV/atom
- DOS at the Fermi energy: 1.9 states/eV/cell
- Relative energy among the computed polymorphs: 0.000 eV/atom



(4)
The following is a DFT calculation (PBE) of BaVS2N after structural relaxation.

Cell and atoms, written as POSCAR:
```
BaVS2N
1.0
4.957 0.000 0.000
0.000 4.957 0.000
0.000 0.000 3.808
Ba S N V
1 2 1 1
Cartesian
2.479 2.479 1.904
2.479 0.000 0.000
0.000 2.479 0.000
0.000 0.000 1.904
0.000 0.000 0.000
```

Properties
- Spin magnetization: 0.0 μB per formula unit
- Formation energy (no corrections): -0.933 eV/atom
- DOS at the Fermi energy: 2.9 states/eV/cell
- Relative energy among the computed polymorphs: 0.000 eV/atom



(5)
The following is a DFT calculation (PBE) of BaVSN2 after structural relaxation.

Cell and atoms, written as POSCAR:
```
BaVSN2
1.0
-0.969 2.062 3.886
2.130 -3.261 2.262
5.206 3.143 -0.370
S N Ba V
1 2 1 1
Cartesian
2.603 1.572 -0.185
1.065 -1.631 1.131
-0.485 1.031 1.943
0.000 0.000 0.000
3.183 0.972 2.889
```

Properties
- Spin magnetization: 1.0 μB per formula unit
- Formation energy (no corrections): 1.797 eV/atom
- DOS at the Fermi energy: 5.4 states/eV/cell
- Relative energy among the computed polymorphs: 2.241 eV/atom



(6)
The following is a DFT calculation (PBE) of BaVS2N after structural relaxation.

Cell and atoms, written as POSCAR:
```
BaVS2N
1.0
-5.595 -0.301 0.354
-0.015 -4.167 -3.763
0.357 -2.883 3.191
Ba N S V
1 1 2 1
Cartesian
0.000 0.000 0.000
0.178 -1.442 1.595
-0.007 -2.083 -1.882
-2.798 -0.150 0.177
-2.627 -3.675 -0.109
```

Properties
- Spin magnetization: 0.2 μB per formula unit
- Formation energy (no corrections): 1.599 eV/atom
- DOS at the Fermi energy: 9.8 states/eV/cell
- Relative energy among the computed polymorphs: 2.532 eV/atom



(7)
The following is a DFT calculation (PBE) of BaVSN2 after structural relaxation.

Cell and atoms, written as POSCAR:
```
BaVSN2
1.0
4.078 0.000 0.000
0.000 4.078 0.000
0.000 0.000 4.847
N S Ba V
2 1 1 1
Cartesian
0.000 2.039 0.000
2.039 0.000 0.000
0.000 0.000 2.423
2.039 2.039 2.423
0.000 0.000 0.000
```

Properties
- Spin magnetization: 0.9 μB per formula unit
- Formation energy (no corrections): -0.444 eV/atom
- DOS at the Fermi energy: 2.0 states/eV/cell
- Relative energy among the computed polymorphs: 0.000 eV/atom



(8)
The following is a DFT calculation (PBE) of BaWSN2 after structural relaxation.

Cell and atoms, written as POSCAR:
```
BaWSN2
1.0
-3.585 2.039 -1.371
-0.401 -2.878 -3.231
-3.262 -3.417 3.449
N S Ba W
2 1 1 1
Cartesian
-0.201 -1.439 -1.616
-1.793 1.019 -0.685
-1.631 -1.708 1.724
0.000 0.000 0.000
-3.624 -2.128 -0.577
```

Properties
- Spin magnetization: 1.4 μB per formula unit
- Formation energy (no corrections): 2.706 eV/atom
- DOS at the Fermi energy: 6.6 states/eV/cell
- Relative energy among the computed polymorphs: 3.269 eV/atom



(9)
The following is a DFT calculation (PBE) of BaWSN2 after structural relaxation.

Cell and atoms, written as POSCAR:
```
BaWSN2
1.0
4.125 0.000 0.000
0.000 4.125 0.000
0.000 0.000 4.900
W N S Ba
1 2 1 1
Cartesian
0.000 0.000 0.000
2.063 0.000 0.000
0.000 2.063 0.000
0.000 0.000 2.450
2.063 2.063 2.450
```

Properties
- Spin magnetization: 0.0 μB per formula unit
- Formation energy (no corrections): -0.563 eV/atom
- DOS at the Fermi energy: 1.5 states/eV/cell
- Relative energy among the computed polymorphs: 0.000 eV/atom



(10)
The following is a DFT calculation (PBE) of BaYS2N after structural relaxation.

Cell and atoms, written as POSCAR:
```
BaYS2N
1.0
-0.950 5.238 0.606
-4.303 -1.127 2.987
2.586 0.036 3.738
N Y S Ba
1 1 2 1
Cartesian
1.293 0.018 1.869
0.000 0.000 0.000
-2.151 -0.563 1.494
-0.475 2.619 0.303
-1.333 2.074 3.666
```

Properties
- Spin magnetization: 2.0 μB per formula unit
- Formation energy (no corrections): -1.086 eV/atom
- DOS at the Fermi energy: 2.0 states/eV/cell
- Relative energy among the computed polymorphs: 0.000 eV/atom



(11)
The following is a DFT calculation (PBE) of BaYS2N after structural relaxation.

Cell and atoms, written as POSCAR:
```
BaYS2N
1.0
5.578 0.000 0.000
0.000 5.578 0.000
0.000 0.000 4.323
Ba Y S N
1 1 2 1
Cartesian
0.000 0.000 0.000
2.789 2.789 2.161
0.000 2.789 0.000
2.789 0.000 0.000
0.000 0.000 2.161
```

Properties
- Spin magnetization: 0.5 μB per formula unit
- Formation energy (no corrections): 0.297 eV/atom
- DOS at the Fermi energy: 4.8 states/eV/cell
- Relative energy among the computed polymorphs: 1.383 eV/atom



(12)
The following is a DFT calculation (PBE) of BaYSN2 after structural relaxation.

Cell and atoms, written as POSCAR:
```
BaYSN2
1.0
-2.412 -3.404 1.518
3.278 -2.798 -1.067
2.350 0.716 5.340
Y N S Ba
1 2 1 1
Cartesian
1.608 -2.743 2.895
-1.206 -1.702 0.759
1.639 -1.399 -0.534
1.175 0.358 2.670
0.000 0.000 0.000
```

Properties
- Spin magnetization: 0.8 μB per formula unit
- Formation energy (no corrections): 0.716 eV/atom
- DOS at the Fermi energy: 2.4 states/eV/cell
- Relative energy among the computed polymorphs: 1.131 eV/atom



(13)
The following is a DFT calculation (PBE) of BaYSN2 after structural relaxation.

Cell and atoms, written as POSCAR:
```
BaYSN2
1.0
4.624 0.000 0.000
0.000 4.624 0.000
0.000 0.000 5.361
Y N S Ba
1 2 1 1
Cartesian
0.000 0.000 0.000
0.000 2.312 0.000
2.312 0.000 0.000
0.000 0.000 2.681
2.312 2.312 2.681
```

Properties
- Spin magnetization: 3.0 μB per formula unit
- Formation energy (no corrections): -0.415 eV/atom
- DOS at the Fermi energy: 3.6 states/eV/cell
- Relative energy among the computed polymorphs: 0.000 eV/atom



(14)
The following is a DFT calculation (PBE) of BaZnS2N after structural relaxation.

Cell and atoms, written as POSCAR:
```
BaZnS2N
1.0
5.033 0.000 0.000
0.000 5.033 0.000
0.000 0.000 4.137
Zn N Ba S
1 1 1 2
Cartesian
0.000 0.000 0.000
0.000 0.000 2.068
2.516 2.516 2.068
0.000 2.516 0.000
2.516 0.000 0.000
```

Properties
- Spin magnetization: 2.2 μB per formula unit
- Formation energy (no corrections): -0.184 eV/atom
- DOS at the Fermi energy: 3.6 states/eV/cell
- Relative energy among the computed polymorphs: 0.000 eV/atom